i) # TcMoIr, relaxed, DFT PBE-GGA
data_TcMoIr
_chemical_formula_sum 'Tc4 Mo4 Ir4'
_cell_length_a 8.3377
_cell_length_b 4.8107
_cell_length_c 5.2538
_cell_angle_alpha 90.00
_cell_angle_beta 122.10
_cell_angle_gamma 90.00
_symmetry_space_group_name_H-M 'P 1'
_symmetry_Int_Tables_number 1
_symmetry_space_group_name_Hall 'P 1'
loop_
_atom_site_label
_atom_site_fract_x
_atom_site_fract_y
_atom_site_fract_z
Tc1 0.0000 0.0000 0.0000
Tc2 0.0000 0.1646 0.5000
Tc3 0.5000 0.5000 0.0000
Tc4 0.5000 0.6646 0.5000
Mo1 0.1640 0.5014 0.9920
Mo2 0.3360 0.0014 0.0080
Mo3 0.6640 0.0014 0.9920
Mo4 0.8360 0.5014 0.0080
Ir1 0.1705 0.6696 0.5062
Ir2 0.3295 0.1696 0.4938
Ir3 0.6705 0.1696 0.5062
Ir4 0.8295 0.6696 0.4938
# Total magnetic moment ... 0.00 μB/f.u.
# DOS at the Fermi energy ... 10.138 states/eV per cell

=====

ii) # TcMoIr, relaxed, DFT PBE-GGA
data_TcMoIr
_chemical_formula_sum 'Tc2 Mo2 Ir2'
_cell_length_a 4.8078
_cell_length_b 4.8439
_cell_length_c 5.2148
_cell_angle_alpha 117.40
_cell_angle_beta 90.32
_cell_angle_gamma 119.53
_symmetry_space_group_name_H-M 'P 1'
_symmetry_Int_Tables_number 1
_symmetry_space_group_name_Hall 'P 1'
loop_
_atom_site_label
_atom_site_fract_x
_atom_site_fract_y
_atom_site_fract_z
Tc1 0.0834 0.3267 0.2328
Tc2 0.9166 0.6733 0.7672
Mo1 0.2448 0.3306 0.7366
Mo2 0.7552 0.6694 0.2634
Ir1 0.4237 0.0019 0.2526
Ir2 0.5763 0.9981 0.7474
# Total magnetic moment ... 0.00 μB/f.u.
# DOS at the Fermi energy ... 4.506 states/eV per cell

=====

iii) # TcMoIr, relaxed, DFT PBE-GGA
data_TcMoIr
_chemical_formula_sum 'Tc4 Mo4 Ir4'
_cell_length_a 8.7304
_cell_length_b 3.9072
_cell_length_c 5.5231
_cell_angle_alpha 90.00
_cell_angle_beta 108.10
_cell_angle_gamma 90.00
_symmetry_space_group_name_H-M 'P 1'
_symmetry_Int_Tables_number 1
_symmetry_space_group_name_Hall 'P 1'
loop_
_atom_site_label
_atom_site_fract_x
_atom_site_fract_y
_atom_site_fract_z
Tc1 0.0000 0.0000 0.0000
Tc2 0.1684 0.5000 0.8379
Tc3 0.5000 0.5000 0.0000
Tc4 0.6684 0.0000 0.8379
Mo1 0.0063 0.0000 0.5105
Mo2 0.3304 0.0000 0.1625
Mo3 0.5063 0.5000 0.5105
Mo4 0.8304 0.5000 0.1625
Ir1 0.1670 0.5000 0.3363
Ir2 0.3357 0.0000 0.6679
Ir3 0.6670 0.0000 0.3363
Ir4 0.8357 0.5000 0.6679
# Total magnetic moment ... 0.00 μB/f.u.
# DOS at the Fermi energy ... 11.437 states/eV per cell

=====

iv) # TcMoIr, relaxed, DFT PBE-GGA
data_TcMoIr
_chemical_formula_sum 'Tc4 Mo4 Ir4'
_cell_length_a 8.7885
_cell_length_b 3.8994
_cell_length_c 5.5256
_cell_angle_alpha 90.00
_cell_angle_beta 108.62
_cell_angle_gamma 90.00
_symmetry_space_group_name_H-M 'P 1'
_symmetry_Int_Tables_number 1
_symmetry_space_group_name_Hall 'P 1'
loop_
_atom_site_label
_atom_site_fract_x
_atom_site_fract_y
_atom_site_fract_z
Tc1 0.1714 0.0000 0.3359
Tc2 0.3286 0.5000 0.6641
Tc3 0.6714 0.5000 0.3359
Tc4 0.8286 0.0000 0.6641
Mo1 0.0000 0.5000 0.0000
Mo2 0.0000 0.5000 0.5000
Mo3 0.5000 0.0000 0.0000
Mo4 0.5000 0.0000 0.5000
Ir1 0.1667 0.0000 0.8344
Ir2 0.3333 0.5000 0.1656
Ir3 0.6667 0.5000 0.8344
Ir4 0.8333 0.0000 0.1656
# Total magnetic moment ... 0.00 μB/f.u.
# DOS at the Fermi energy ... 11.893 states/eV per cell

=====

Stability summary: most stable i), least stable iv).

=====

i) # TcMoIr, relaxed, DFT PBE-GGA
data_TcMoIr
_chemical_formula_sum 'Tc4 Mo4 Ir4'
_cell_length_a 8.3840
_cell_length_b 4.8038
_cell_length_c 5.2378
_cell_angle_alpha 90.00
_cell_angle_beta 122.10
_cell_angle_gamma 90.00
_symmetry_space_group_name_H-M 'P 1'
_symmetry_Int_Tables_number 1
_symmetry_space_group_name_Hall 'P 1'
loop_
_atom_site_label
_atom_site_fract_x
_atom_site_fract_y
_atom_site_fract_z
Tc1 0.1670 0.0000 0.0044
Tc2 0.3330 0.5000 0.9956
Tc3 0.6670 0.5000 0.0044
Tc4 0.8330 0.0000 0.9956
Mo1 0.0000 0.3371 0.5000
Mo2 0.0000 0.5010 0.0000
Mo3 0.5000 0.0010 0.0000
Mo4 0.5000 0.8371 0.5000
Ir1 0.1695 0.8382 0.5115
Ir2 0.3305 0.3382 0.4885
Ir3 0.6695 0.3382 0.5115
Ir4 0.8305 0.8382 0.4885
# Total magnetic moment ... 0.00 μB/f.u.
# DOS at the Fermi energy ... 9.467 states/eV per cell

=====

ii) # TcMoIr, relaxed, DFT PBE-GGA
data_TcMoIr
_chemical_formula_sum 'Tc2 Mo2 Ir2'
_cell_length_a 2.7182
_cell_length_b 3.9460
_cell_length_c 8.3762
_cell_angle_alpha 90.00
_cell_angle_beta 90.00
_cell_angle_gamma 90.00
_symmetry_space_group_name_H-M 'P 1'
_symmetry_Int_Tables_number 1
_symmetry_space_group_name_Hall 'P 1'
loop_
_atom_site_label
_atom_site_fract_x
_atom_site_fract_y
_atom_site_fract_z
Tc1 0.0000 0.0000 0.0000
Tc2 0.5000 0.5000 0.5000
Mo1 0.0000 0.0000 0.3305
Mo2 0.5000 0.5000 0.8305
Ir1 0.0000 0.0000 0.6624
Ir2 0.5000 0.5000 0.1624
# Total magnetic moment ... 0.00 μB/f.u.
# DOS at the Fermi energy ... 6.804 states/eV per cell

=====

Stability summary: most stable i), least stable ii).